Here is a relaxed structure of Ce3Se from Alexandria via LeMat-Bulk. Energies are from GGA-PBE.

Properties
- symmetry = Pmm2, No. 25
- uncorrected formation energy (eV per atom) = -0.622
- total magnetization (Bohr magnetons per cell) = 0.3
- crystal system = orthorhombic

Cell and atoms, written as POSCAR:
```
Ce3Se
1.0
3.4505 0.0000 0.0000
0.0000 5.0677 0.0000
0.0000 0.0000 5.5703
Ce Se
3 1
Direct
0.5000 0.5000 0.8677
0.0000 0.0000 0.9976
0.5000 0.0000 0.4572
0.0000 0.5000 0.3442
```